DFT (GGA-PBE) results for an optimized crystal structure of LuAlCuPt.

Cell and atoms, written as POSCAR:
```
LuAlCuPt
1.0
0.000 3.248 3.248
3.248 0.000 3.248
3.248 3.248 0.000
Al Cu Lu Pt
1 1 1 1
Cartesian
0.000 0.000 0.000
4.871 4.871 4.871
1.624 1.624 1.624
3.248 3.248 3.248
```

Values from the calculation:
Magnetic moment (μB/cell): 0.001
Theoretical density (Mg/m³): 11.16
Total DFT energy (no corrections) (eV per atom): -4.99
Space group: No. 216

=====

DFT (GGA-PBE) results for an optimized crystal structure of LuScAlCu.

Cell and atoms, written as POSCAR:
```
LuScAlCu
1.0
-2.112 -0.182 4.307
-3.215 -3.435 0.953
1.096 -3.530 3.064
Al Cu Lu Sc
1 1 1 1
Cartesian
0.000 0.000 0.000
-3.174 -5.361 6.243
-2.116 -3.574 4.162
-1.058 -1.787 2.081
```

Values from the calculation:
Magnetic moment (μB/cell): 0.103
Theoretical density (Mg/m³): 6.59
Total DFT energy (no corrections) (eV per atom): -4.58
Space group: No. 216

=====

DFT (GGA-PBE) results for an optimized crystal structure of LuAlCuTc.

Cell and atoms, written as POSCAR:
```
LuAlCuTc
1.0
2.496 -1.899 3.340
1.808 2.630 3.287
-1.658 -0.202 4.266
Al Cu Lu Tc
1 1 1 1
Cartesian
0.000 0.000 0.000
1.984 0.397 8.169
0.661 0.132 2.723
1.323 0.264 5.446
```

Values from the calculation:
Magnetic moment (μB/cell): 0.001
Theoretical density (Mg/m³): 8.88
Total DFT energy (no corrections) (eV per atom): -5.36
Space group: No. 216

=====

DFT (GGA-PBE) results for an optimized crystal structure of LuAlCuTc.

Cell and atoms, written as POSCAR:
```
LuAlCuTc
1.0
0.000 3.189 3.189
3.189 0.000 3.189
3.189 3.189 0.000
Al Cu Lu Tc
1 1 1 1
Cartesian
0.000 0.000 0.000
4.784 4.784 4.784
3.189 3.189 3.189
1.595 1.595 1.595
```

Values from the calculation:
Magnetic moment (μB/cell): 0.002
Theoretical density (Mg/m³): 9.30
Total DFT energy (no corrections) (eV per atom): -5.75
Space group: No. 216